Computed, not measured: a geometry-optimized LaPr2Ag2Hg2 structure at the GGA-PBE level of DFT.

Summary:
energy relative to the elements = -282 meV per atom
crystal system = trigonal

a b c (Å): 9.6161 9.6161 9.6161
angles (deg): 29.84 29.84 29.84
Atoms (fractional coordinates):
La: 0.0000 0.0000 0.0000
Pr: 0.1245 0.1245 0.1245
Pr: 0.8755 0.8755 0.8755
Ag: 0.4010 0.4010 0.4010
Ag: 0.5990 0.5990 0.5990
Hg: 0.2602 0.2602 0.2602
Hg: 0.7398 0.7398 0.7398

Computed, not measured: a geometry-optimized NaLa2Pd2 structure at the GGA-PBE level of DFT.

Summary:
energy above the lowest structure with this stoichiometry = 0.314 eV/atom
energy relative to the elements = -280 meV per atom
crystal system = tetragonal

a b c (Å): 10.1880 10.1880 10.1880
angles (deg): 157.45 157.45 32.11
Atoms (fractional coordinates):
Na: 0.0000 0.0000 0.0000
La: 0.3594 0.3594 0.0000
La: 0.6406 0.6406 0.0000
Pd: 0.2500 0.7500 0.5000
Pd: 0.7500 0.2500 0.5000

Computed, not measured: a geometry-optimized Li3Y2AlCu12 structure at the GGA-PBE level of DFT.

Summary:
energy relative to the elements = 3 meV per atom
crystal system = trigonal

a b c (Å): 6.5000 6.5000 6.5000
angles (deg): 83.68 83.68 83.68
Atoms (fractional coordinates):
Li: 0.0000 0.5000 0.5000
Li: 0.5000 0.0000 0.5000
Li: 0.5000 0.5000 0.0000
Y: 0.2190 0.2190 0.2190
Y: 0.7810 0.7810 0.7810
Al: 0.5000 0.5000 0.5000
Cu: 0.0737 0.0737 0.6489
Cu: 0.0737 0.6489 0.0737
Cu: 0.2323 0.7007 0.7007
Cu: 0.2993 0.2993 0.7677
Cu: 0.2993 0.7677 0.2993
Cu: 0.3511 0.9263 0.9263
Cu: 0.6489 0.0737 0.0737
Cu: 0.7007 0.2323 0.7007
Cu: 0.7007 0.7007 0.2323
Cu: 0.7677 0.2993 0.2993
Cu: 0.9263 0.3511 0.9263
Cu: 0.9263 0.9263 0.3511

| no. | total moment (μB/cell) |
| --- | --- |
| 1 | 0.00 |
| 2 | 0.00 |
| 3 | 0.00 |